Here is crystalline K2AgAs3Se6 at its relaxed geometry from Alexandria via LeMat-Bulk. Energies are from PBE.

Calculated values
* crystal system: monoclinic
* total magnetization: 0.000 μB per atom
* space-group type: P2_1/c (14)
* formation energy (no corrections): -5.64 eV per formula unit
* total DFT energy (no corrections): -3.795 eV per atom

Unit cell a=7.754 b=12.928 c=18.155 alpha=53.69 beta=90.00 gamma=90.00
Positions (direct):
Se 0.198 0.125 0.809
Se 0.807 0.351 0.724
Se 0.307 0.649 0.776
Se 0.302 0.125 0.309
Se 0.698 0.875 0.691
Se 0.247 0.055 0.159
Se 0.436 0.750 0.040
Se 0.936 0.250 0.460
Se 0.253 0.055 0.659
Se 0.081 0.288 0.917
Se 0.753 0.945 0.841
Se 0.064 0.750 0.540
Se 0.419 0.288 0.417
Se 0.747 0.945 0.341
Se 0.228 0.411 0.059
Se 0.272 0.411 0.559
Se 0.802 0.875 0.191
Se 0.564 0.250 0.960
Se 0.193 0.649 0.276
Se 0.919 0.712 0.083
Se 0.693 0.351 0.224
Se 0.581 0.712 0.583
Se 0.772 0.589 0.941
Se 0.728 0.589 0.441
As 0.188 0.123 0.503
As 0.567 0.176 0.362
As 0.433 0.824 0.638
As 0.592 0.776 0.847
As 0.688 0.877 0.997
As 0.908 0.776 0.347
As 0.067 0.824 0.138
As 0.312 0.123 0.003
As 0.812 0.877 0.497
As 0.408 0.224 0.153
As 0.092 0.224 0.653
As 0.933 0.176 0.862
K 0.115 0.411 0.245
K 0.863 0.212 0.115
K 0.615 0.589 0.255
K 0.385 0.411 0.745
K 0.637 0.212 0.615
K 0.885 0.589 0.755
K 0.363 0.788 0.385
K 0.137 0.788 0.885
Ag 0.987 0.526 0.572
Ag 0.487 0.474 0.928
Ag 0.013 0.474 0.428
Ag 0.513 0.526 0.072

Here is crystalline SrLa2HgRu at its relaxed geometry from Alexandria via LeMat-Bulk. Energies are from PBE.

Calculated values
* crystal system: tetragonal
* DFT formation energy: -0.182 eV per atom
* N(E_F): 4.4 states/eV per cell
* total magnetization: 0.000 μB per atom
* energy above the lowest structure with this stoichiometry: 0.0087 eV/atom
* space-group type: P4/mmm (123)
* total DFT energy (no corrections): -4.405 eV per atom

Unit cell a=5.389 b=5.389 c=5.675 alpha=90.00 beta=90.00 gamma=90.00
Positions (direct):
Sr 0.500 0.500 0.500
La 0.000 0.500 0.000
La 0.500 0.000 0.000
Ru 0.000 0.000 0.000
Hg 0.000 0.000 0.500

Here is crystalline ZrZn at its relaxed geometry from Alexandria via LeMat-Bulk. Energies are from PBE.

Calculated values
* crystal system: orthorhombic
* DFT formation energy: -0.169 eV per atom
* N(E_F): 6.3 states/eV per cell
* total magnetization: 0.000 μB per atom
* space-group type: Imm2 (44)
* total DFT energy (no corrections): -5.080 eV per atom

Unit cell a=9.277 b=4.281 c=5.795 alpha=90.00 beta=90.00 gamma=90.00
Positions (direct):
Zr 0.000 0.000 0.911
Zr 0.323 0.000 0.679
Zr 0.677 0.000 0.679
Zr 0.500 0.500 0.411
Zr 0.177 0.500 0.179
Zr 0.823 0.500 0.179
Zn 0.362 0.000 0.159
Zn 0.500 0.500 0.916
Zn 0.638 0.000 0.159
Zn 0.862 0.500 0.659
Zn 0.000 0.000 0.416
Zn 0.138 0.500 0.659

Here is crystalline SrW2Cl at its relaxed geometry from Alexandria via LeMat-Bulk. Energies are from PBE.

Calculated values
* crystal system: tetragonal
* N(E_F): 4.8 states/eV per cell
* total magnetization: 0.000 μB per atom
* energy above the lowest structure with this stoichiometry: 1.2358 eV/atom
* space-group type: P4/mmm (123)
* formation energy (no corrections): 5.41 eV per formula unit
* total DFT energy (no corrections): -6.006 eV per atom

Unit cell a=2.859 b=2.859 c=9.604 alpha=90.00 beta=90.00 gamma=90.00
Positions (direct):
W 0.000 0.000 0.464
W 0.000 0.000 0.036
Cl 0.500 0.500 0.250
Sr 0.500 0.500 0.750